w | Rb2Hg2Au after structural relaxation. Source: the Alexandria database, functional PBE.

- Magnetization: 0.00 μB per cell

extended XYZ file:
```
5
Lattice="4.3930 0.0000 0.0000 0.0000 4.3930 0.0000 2.1965 2.1965 10.2238" Properties=species:S:1:pos:R:3 pbc="T T T"
Hg 4.3930 2.1965 5.1119
Hg 2.1965 4.3930 5.1119
Rb 2.1965 2.1965 1.9977
Rb 4.3930 4.3930 8.2262
Au 0.0000 0.0000 0.0000
```

x | Rb2Hg2Au after structural relaxation. Source: the Alexandria database, functional PBE.

- Magnetization: 0.00 μB per cell

extended XYZ file:
```
10
Lattice="9.3442 0.0000 0.0000 0.0000 9.3442 0.0000 0.0000 0.0000 5.2853" Properties=species:S:1:pos:R:3 pbc="T T T"
Rb 6.3700 1.6979 0.0000
Rb 7.6463 6.3700 0.0000
Rb 1.6979 2.9742 0.0000
Rb 2.9742 7.6463 0.0000
Au 0.0000 0.0000 0.0000
Au 4.6721 4.6721 0.0000
Hg 1.1189 5.7910 2.6427
Hg 5.7910 8.2253 2.6427
Hg 8.2253 3.5532 2.6427
Hg 3.5532 1.1189 2.6427
```

Most stable: w

w | RbHgAu after structural relaxation. Source: the Alexandria database, functional PBE.

- Magnetization: 0.00 μB per cell

extended XYZ file:
```
12
Lattice="-4.7140 5.3701 1.9297 -4.6655 -4.8536 2.1098 4.5129 -1.5180 6.4870" Properties=species:S:1:pos:R:3 pbc="T T T"
Rb 0.2171 1.8288 7.5483
Rb -5.0837 -2.8303 2.9783
Rb -0.8834 -1.3468 3.8830
Rb -3.9831 0.3452 6.6436
Au -7.3045 0.2371 5.9425
Au 2.4379 -1.2387 4.5841
Au -1.1662 -1.6206 7.5316
Au -3.7004 0.6191 2.9950
Hg -1.7423 2.2763 4.2873
Hg -3.1243 -3.2779 6.2393
Hg -6.5533 1.3983 3.4250
Hg 1.6867 -2.3999 7.1016
```

x | RbHgAu after structural relaxation. Source: the Alexandria database, functional PBE.

- Magnetization: 0.00 μB per cell

extended XYZ file:
```
3
Lattice="-4.3479 0.5818 -1.5692 1.0236 -2.9636 -3.9349 -1.8018 -1.9970 4.2520" Properties=species:S:1:pos:R:3 pbc="T T T"
Rb -2.8169 -2.2535 -2.2521
Hg -1.5857 -2.2221 1.2611
Au -0.7235 0.0968 -0.2611
```

y | RbHgAu after structural relaxation. Source: the Alexandria database, functional PBE.

- Magnetization: 0.00 μB per cell

extended XYZ file:
```
3
Lattice="-3.4673 -0.2086 1.9938 1.9063 -1.5761 3.1501 1.7115 6.4072 -0.3761" Properties=species:S:1:pos:R:3 pbc="T T T"
Au -0.5051 0.7391 3.2215
Hg 0.4621 2.7372 1.0899
Rb 0.0647 4.1143 4.5655
```

Most stable: x

w | RbHgAu after structural relaxation. Source: the Alexandria database, functional PBE.

- Magnetization: 0.00 μB per cell

extended XYZ file:
```
3
Lattice="5.4729 0.0000 0.0000 2.7364 4.7396 0.0000 2.7364 1.5799 4.4686" Properties=species:S:1:pos:R:3 pbc="T T T"
Rb 0.0000 0.0000 0.0000
Hg 5.4729 3.1598 2.2343
Au 2.7364 1.5799 1.1171
```

x | RbHgAu after structural relaxation. Source: the Alexandria database, functional PBE.

- Magnetization: 0.00 μB per cell

extended XYZ file:
```
12
Lattice="7.6374 0.0000 0.0000 0.0000 7.6374 0.0000 0.0000 0.0000 7.6374" Properties=species:S:1:pos:R:3 pbc="T T T"
Au 2.3855 5.2519 1.4332
Au 5.2519 1.4332 2.3855
Au 1.4332 2.3855 5.2519
Au 6.2042 6.2042 6.2042
Hg 4.3105 7.1457 0.4918
Hg 0.4918 4.3105 7.1457
Hg 3.3270 3.3270 3.3270
Hg 7.1457 0.4918 4.3105
Rb 3.2359 7.0546 4.4015
Rb 0.5828 0.5828 0.5828
Rb 7.0546 4.4015 3.2359
Rb 4.4015 3.2359 7.0546
```

Most stable: x

w | RbHg5Au2 after structural relaxation. Source: the Alexandria database, functional PBE.

- Magnetization: 0.00 μB per cell

extended XYZ file:
```
8
Lattice="5.2822 0.0000 -1.4890 -0.4198 5.2655 -1.4890 -0.0889 -0.0963 9.7982" Properties=species:S:1:pos:R:3 pbc="T T T"
Hg 0.5576 3.4638 1.9779
Hg 3.4085 0.8311 1.9779
Hg 0.0000 0.0000 0.0000
Hg 4.2160 1.7054 4.8422
Hg 1.3650 4.3382 4.8422
Au 0.7326 0.7933 2.5988
Au 4.0409 4.3759 4.2213
Rb 2.4312 2.6327 -1.4890
```

x | RbHg5Au2 after structural relaxation. Source: the Alexandria database, functional PBE.

- Magnetization: 0.00 μB per cell

extended XYZ file:
```
8
Lattice="-3.3009 0.4959 -3.3295 -5.4774 -4.8647 1.3678 -5.9430 3.3071 3.0466" Properties=species:S:1:pos:R:3 pbc="T T T"
Hg -8.6485 0.7407 2.0087
Hg -6.0728 -1.8025 -0.9238
Hg -6.2522 1.3468 -0.2768
Hg -8.4691 -2.4085 1.3617
Hg -5.7102 -0.7788 2.2072
Au -11.0289 -0.7932 0.8022
Au -3.6924 -0.2685 0.2827
Rb 0.0000 0.0000 0.0000
```

Most stable: x

w | RbHg4Au after structural relaxation. Source: the Alexandria database, functional PBE.

- Magnetization: 0.00 μB per cell

extended XYZ file:
```
12
Lattice="0.2965 -2.9888 -4.0020 -4.7976 -5.2178 3.5413 -7.4136 5.6852 -1.6670" Properties=species:S:1:pos:R:3 pbc="T T T"
Hg -5.1506 -2.8402 -1.3885
Hg -4.5252 -3.3786 2.1879
Hg -4.8577 2.3923 -2.1465
Hg -2.2505 -4.1033 -0.2304
Hg -6.7641 0.3188 -0.7392
Hg -7.0571 -4.9136 0.0187
Hg -7.3895 0.8573 -4.3157
Hg 0.1482 -1.4944 -2.0010
Rb -3.0577 -0.2325 -0.0529
Rb -8.8570 -2.2888 -2.0749
Au -6.8410 -2.0428 1.0188
Au -5.0737 -0.4785 -3.1465
```

x | RbHg4Au after structural relaxation. Source: the Alexandria database, functional PBE.

- Magnetization: 0.00 μB per cell

extended XYZ file:
```
6
Lattice="-2.8284 3.3581 -4.6130 -2.2072 -2.9534 -5.1925 -6.2770 -0.5320 -0.9345" Properties=species:S:1:pos:R:3 pbc="T T T"
Au 0.0000 0.0000 0.0000
Rb -2.8281 -0.0318 -2.6850
Hg -3.9202 0.1882 -6.2512
Hg -7.0800 -0.0796 -6.7216
Hg -5.6562 -1.7701 -4.3995
Hg -5.9689 1.4071 -4.1077
```

Most stable: w

w | Rb2HgAu2 after structural relaxation. Source: the Alexandria database, functional PBE.

- Magnetization: 0.00 μB per cell

extended XYZ file:
```
10
Lattice="6.7535 0.0000 0.0000 -3.3767 5.8053 0.2728 0.0000 -2.2476 8.4520" Properties=species:S:1:pos:R:3 pbc="T T T"
Au 5.6969 1.6340 0.1588
Au 2.3201 3.0475 4.3401
Au -2.3201 1.9237 8.5661
Au 1.0566 0.5102 4.3848
Rb 4.3792 0.2704 5.4620
Rb 2.3743 1.3942 1.2360
Rb 1.0024 2.1635 7.4888
Rb -1.0024 3.2873 3.2628
Hg 0.6662 -1.6857 6.3390
Hg 6.0873 -0.5619 2.1130
```

x | Rb2HgAu2 after structural relaxation. Source: the Alexandria database, functional PBE.

- Magnetization: 0.00 μB per cell

extended XYZ file:
```
5
Lattice="6.6005 0.0000 0.0000 0.0000 6.6005 0.0000 3.3003 3.3003 6.3667" Properties=species:S:1:pos:R:3 pbc="T T T"
Rb 3.3003 3.3003 2.4030
Rb 6.6005 6.6005 3.9636
Au 3.3003 6.6005 3.1833
Au 6.6005 3.3003 3.1833
Hg 0.0000 0.0000 0.0000
```

Most stable: w

w | RbHgAu3 after structural relaxation. Source: the Alexandria database, functional PBE.

- Magnetization: 1.99 μB per cell

extended XYZ file:
```
5
Lattice="6.3101 0.0000 0.0000 0.0000 6.3101 0.0000 0.0000 0.0000 6.3101" Properties=species:S:1:pos:R:3 pbc="T T T"
Au 3.1551 0.0000 0.0000
Au 0.0000 3.1551 0.0000
Au 0.0000 0.0000 3.1551
Rb 0.0000 0.0000 0.0000
Hg 3.1551 3.1551 3.1551
```

x | RbHgAu3 after structural relaxation. Source: the Alexandria database, functional PBE.

- Magnetization: 0.00 μB per cell

extended XYZ file:
```
10
Lattice="5.2270 0.0000 2.1819 1.9898 6.9047 2.5853 -0.0753 -1.2546 7.5325" Properties=species:S:1:pos:R:3 pbc="T T T"
Rb 4.5448 1.9890 3.8163
Rb 2.5967 3.6611 8.4833
Au 5.2654 5.0838 5.7659
Au 5.6403 5.3603 8.5440
Au 1.5012 0.2898 3.7556
Au 4.4896 0.5663 7.6246
Au 1.8760 0.5663 6.5337
Au 2.6519 5.0838 4.6750
Hg 2.6135 0.0000 1.0909
Hg 0.9572 2.8250 5.0589
```

Most stable: x

w | Rb2HgAu3 after structural relaxation. Source: the Alexandria database, functional PBE.

- Magnetization: 0.00 μB per cell

extended XYZ file:
```
12
Lattice="5.7104 0.0000 0.0000 0.0000 7.1119 0.0000 0.0000 0.0000 9.0698" Properties=species:S:1:pos:R:3 pbc="T T T"
Au 1.4276 1.4536 7.0962
Au 0.0000 0.0000 0.0000
Au 4.2828 5.6584 1.9736
Au 1.4276 5.6584 7.0962
Au 4.2828 1.4536 1.9736
Au 2.8552 0.0000 0.0000
Rb 4.2828 3.5560 7.7952
Rb 1.4276 3.5560 1.2746
Rb 1.4276 0.0000 3.3923
Rb 4.2828 0.0000 5.6775
Hg 4.2828 3.5560 3.8098
Hg 1.4276 3.5560 5.2600
```

x | Rb2HgAu3 after structural relaxation. Source: the Alexandria database, functional PBE.

- Magnetization: 0.00 μB per cell

extended XYZ file:
```
12
Lattice="-3.2328 -2.2082 5.6135 5.7303 1.0189 3.6005 -3.7165 8.5025 -2.9173" Properties=species:S:1:pos:R:3 pbc="T T T"
Au -0.4070 4.7114 5.7407
Au -1.4359 -0.1238 5.3955
Au -0.8119 2.6017 0.5559
Au -4.3458 5.7941 1.9259
Au 0.2170 7.4369 0.9012
Au 3.1269 1.5190 4.3707
Rb 0.6150 -0.2929 2.2689
Rb 1.6313 4.4633 2.6451
Rb 1.8825 -0.8965 6.9451
Rb -2.8502 2.8498 3.6516
Hg 0.4280 2.0356 5.1690
Hg -1.6469 5.2775 1.1276
```

Most stable: x